DFT (PBE-GGA) results for a relaxed structure of TbNdScHg.

Unit cell a=5.3866 b=5.3866 c=5.3866 alpha=60.00 beta=60.00 gamma=60.00
Last column: magnetic moment on the atom in μB.
Element x y z (fractional)
1 Nd 0.7500 0.7500 0.7500  0.06
2 Hg 0.5000 0.5000 0.5000  0.00
3 Sc 0.0000 0.0000 0.0000  0.17
4 Tb 0.2500 0.2500 0.2500  0.10

* DFT formation energy: -0.086 eV/atom
* energy: -4.094 eV/atom
* magnetic moment: 0.47 μB per cell

DFT (PBE-GGA) results for a relaxed structure of NdScTlHg.

Unit cell a=5.2832 b=5.2832 c=5.2832 alpha=60.00 beta=60.00 gamma=60.00
Last column: magnetic moment on the atom in μB.
Element x y z (fractional)
1 Tl 0.7500 0.7500 0.7500  -0.01
2 Sc 0.0000 0.0000 0.0000  0.34
3 Hg 0.2500 0.2500 0.2500  0.02
4 Nd 0.5000 0.5000 0.5000  0.13

* DFT formation energy: -0.370 eV/atom
* energy: -3.812 eV/atom
* magnetic moment: 0.78 μB per cell

DFT (PBE-GGA) results for a relaxed structure of NdTmSc2Hg4.

Unit cell a=5.1412 b=5.1412 c=8.9909 alpha=73.39 beta=73.39 gamma=60.00
Last column: magnetic moment on the atom in μB.
Element x y z (fractional)
1 Hg 0.6207 0.6207 0.1380  0.01
2 Hg 0.3793 0.3793 0.8620  0.01
3 Hg 0.8722 0.8722 0.3835  0.01
4 Hg 0.1278 0.1278 0.6165  0.01
5 Sc 0.7509 0.7509 0.7473  0.19
6 Sc 0.2491 0.2491 0.2527  0.19
7 Tm 0.5000 0.5000 0.5000  0.04
8 Nd 0.0000 0.0000 0.0000  0.11

* DFT formation energy: -0.431 eV/atom
* energy: -3.320 eV/atom
* magnetic moment: 0.86 μB per cell

DFT (PBE-GGA) results for a relaxed structure of NdYSc2Hg4.

Unit cell a=5.1717 b=5.1717 c=8.9986 alpha=73.30 beta=73.30 gamma=60.00
Last column: magnetic moment on the atom in μB.
Element x y z (fractional)
1 Nd 0.0000 0.0000 0.0000  0.11
2 Hg 0.1269 0.1269 0.6192  0.01
3 Hg 0.8731 0.8731 0.3808  0.01
4 Hg 0.6224 0.6224 0.1327  0.01
5 Hg 0.3776 0.3776 0.8673  0.01
6 Sc 0.7506 0.7506 0.7482  0.21
7 Sc 0.2494 0.2494 0.2518  0.21
8 Y 0.5000 0.5000 0.5000  0.05

* DFT formation energy: -0.438 eV/atom
* energy: -3.576 eV/atom
* magnetic moment: 0.95 μB per cell

DFT (PBE-GGA) results for a relaxed structure of NdY2ScHg4.

Unit cell a=5.2228 b=5.2228 c=9.1711 alpha=73.46 beta=73.46 gamma=60.00
Last column: magnetic moment on the atom in μB.
Element x y z (fractional)
1 Hg 0.1277 0.1277 0.6169  0.01
2 Hg 0.6194 0.6194 0.1419  0.01
3 Hg 0.3806 0.3806 0.8581  0.01
4 Hg 0.8723 0.8723 0.3831  0.01
5 Sc 0.5000 0.5000 0.5000  0.12
6 Y 0.7527 0.7527 0.7418  0.09
7 Y 0.2473 0.2473 0.2582  0.09
8 Nd 0.0000 0.0000 0.0000  0.10

* DFT formation energy: -0.459 eV/atom
* energy: -3.614 eV/atom
* magnetic moment: 0.74 μB per cell

DFT (PBE-GGA) results for a relaxed structure of Nd2HgSe.

Unit cell a=3.6097 b=3.6097 c=8.0877 alpha=90.00 beta=90.00 gamma=90.00
Element x y z (fractional)
1 Nd 0.0000 0.0000 0.7665
2 Nd 0.0000 0.0000 0.2335
3 Se 0.5000 0.5000 0.0000
4 Hg 0.5000 0.5000 0.5000

* energy: -4.294 eV/atom
* magnetic moment: 0.01 μB per cell
* uncorrected formation energy: -0.963 eV/atom
* polymorph energy (0 for the lowest one): 165.5 meV/atom

DFT (PBE-GGA) results for a relaxed structure of NdHgSe2.

Unit cell a=4.3210 b=4.3210 c=7.6797 alpha=73.66 beta=73.66 gamma=60.00
Element x y z (fractional)
1 Se 0.0750 0.0750 0.7750
2 Se 0.2600 0.2600 0.2200
3 Hg 0.4994 0.4994 0.5017
4 Nd 0.6655 0.6655 0.0034

* energy: -4.039 eV/atom
* magnetic moment: 0.00 μB per cell
* uncorrected formation energy: -1.029 eV/atom
* polymorph energy (0 for the lowest one): 7.2 meV/atom

DFT (PBE-GGA) results for a relaxed structure of Nd6HgSe4.

Unit cell a=4.1979 b=7.3112 c=21.5931 alpha=90.00 beta=90.00 gamma=106.68
Element x y z (fractional)
1 Nd 0.5000 0.0000 0.0000
2 Nd 0.7732 0.5463 0.0837
3 Nd 0.9534 0.9069 0.8365
4 Nd 0.6693 0.3385 0.7500
5 Nd 0.0466 0.0931 0.3365
6 Nd 0.3307 0.6615 0.2500
7 Nd 0.0466 0.0931 0.1635
8 Nd 0.7732 0.5463 0.4163
9 Nd 0.2268 0.4537 0.5837
10 Nd 0.9534 0.9069 0.6635
11 Nd 0.5000 0.0000 0.5000
12 Nd 0.2268 0.4537 0.9163
13 Se 0.8625 0.7251 0.9593
14 Se 0.4096 0.8193 0.1244
15 Se 0.8625 0.7251 0.5407
16 Se 0.1375 0.2749 0.0407
17 Se 0.5904 0.1807 0.6244
18 Se 0.4096 0.8193 0.3756
19 Se 0.1375 0.2749 0.4593
20 Se 0.5904 0.1807 0.8756
21 Hg 0.3379 0.6757 0.7500
22 Hg 0.6621 0.3243 0.2500

* energy: -5.318 eV/atom
* magnetic moment: 0.68 μB per cell
* uncorrected formation energy: -1.423 eV/atom

DFT (PBE-GGA) results for a relaxed structure of Nd3Hg5Se12.

Unit cell a=14.4609 b=14.4609 c=14.4609 alpha=109.47 beta=109.47 gamma=109.47
Element x y z (fractional)
1 Se 0.9141 0.0855 0.8620
2 Se 0.5859 0.9480 0.6714
3 Se 0.2766 0.4145 0.8286
4 Se 0.4145 0.1380 0.5859
5 Se 0.8286 0.9141 0.0520
6 Se 0.9145 0.8286 0.7766
7 Se 0.6714 0.4480 0.5859
8 Se 0.9145 0.0859 0.6380
9 Se 0.1714 0.0855 0.7234
10 Se 0.9480 0.3620 0.2766
11 Se 0.9480 0.5859 0.1714
12 Se 0.5859 0.6380 0.4145
13 Se 0.4145 0.2766 0.3286
14 Se 0.0859 0.1714 0.4480
15 Se 0.4480 0.6714 0.0859
16 Se 0.3620 0.9480 0.7766
17 Se 0.4141 0.3620 0.5855
18 Se 0.8620 0.5855 0.9141
19 Se 0.6380 0.5859 0.9145
20 Se 0.5520 0.2234 0.1380
21 Se 0.7234 0.1380 0.0520
22 Se 0.0859 0.9145 0.1380
23 Se 0.5855 0.8620 0.4141
24 Se 0.8286 0.9145 0.2766
25 Se 0.5855 0.7234 0.6714
26 Se 0.6714 0.2234 0.5855
27 Se 0.7234 0.5855 0.1714
28 Se 0.3286 0.7766 0.4145
29 Se 0.2234 0.5520 0.6380
30 Se 0.7766 0.4480 0.3620
31 Se 0.8620 0.2766 0.4480
32 Se 0.5520 0.3286 0.9141
33 Se 0.1380 0.7234 0.5520
34 Se 0.4480 0.7766 0.8620
35 Se 0.7766 0.3286 0.9145
36 Se 0.0520 0.6380 0.7234
37 Se 0.3620 0.4141 0.0855
38 Se 0.6380 0.0520 0.2234
39 Se 0.0855 0.9141 0.3620
40 Se 0.9141 0.8286 0.5520
41 Se 0.2766 0.8620 0.9480
42 Se 0.2234 0.6714 0.0855
43 Se 0.1714 0.0859 0.9480
44 Se 0.3286 0.5520 0.4141
45 Se 0.4141 0.0520 0.3286
46 Se 0.1380 0.4145 0.0859
47 Se 0.0520 0.4141 0.8286
48 Se 0.0855 0.1714 0.2234
49 Hg 0.0000 0.5000 0.0000
50 Hg 0.3750 0.1250 0.7500
51 Hg 0.7500 0.6250 0.3750
52 Hg 0.0000 0.5000 0.5000
53 Hg 0.8750 0.6250 0.7500
54 Hg 0.8750 0.2500 0.6250
55 Hg 0.2500 0.3750 0.6250
56 Hg 0.3750 0.2500 0.1250
57 Hg 0.1250 0.7500 0.3750
58 Hg 0.0000 0.0000 0.5000
59 Hg 0.2500 0.8750 0.1250
60 Hg 0.5000 0.5000 0.0000
61 Hg 0.5000 0.0000 0.5000
62 Hg 0.5000 0.5000 0.5000
63 Hg 0.5000 0.0000 0.0000
64 Hg 0.0000 0.0000 0.0000
65 Hg 0.1250 0.3750 0.2500
66 Hg 0.6250 0.7500 0.8750
67 Hg 0.6250 0.8750 0.2500
68 Hg 0.7500 0.1250 0.8750
69 Nd 0.8750 0.1250 0.2500
70 Nd 0.2500 0.1250 0.3750
71 Nd 0.2500 0.6250 0.8750
72 Nd 0.3750 0.7500 0.6250
73 Nd 0.1250 0.8750 0.7500
74 Nd 0.6250 0.2500 0.3750
75 Nd 0.7500 0.3750 0.1250
76 Nd 0.7500 0.8750 0.6250
77 Nd 0.6250 0.3750 0.7500
78 Nd 0.1250 0.2500 0.8750
79 Nd 0.3750 0.6250 0.2500
80 Nd 0.8750 0.7500 0.1250

* energy: -3.493 eV/atom
* magnetic moment: 0.00 μB per cell
* uncorrected formation energy: -0.612 eV/atom

DFT (PBE-GGA) results for a relaxed structure of Nd2HgSe.

Unit cell a=4.1805 b=4.1805 c=8.0477 alpha=74.94 beta=74.94 gamma=60.00
Element x y z (fractional)
1 Nd 0.7424 0.7424 0.7726
2 Nd 0.2576 0.2576 0.2274
3 Se 0.0000 0.0000 0.0000
4 Hg 0.5000 0.5000 0.5000

* energy: -4.459 eV/atom
* magnetic moment: 0.00 μB per cell
* uncorrected formation energy: -1.129 eV/atom
* polymorph energy (0 for the lowest one): 0.0 meV/atom